# 1
DFT (GGA-PBEsol) results for BaHg3 after structural relaxation.

```
data_BaHg3
_cell_length_a 7.207
_cell_length_b 12.514
_cell_length_c 5.115
_cell_angle_alpha 90.00
_cell_angle_beta 90.00
_cell_angle_gamma 90.00
_space_group_name_H-M_alt 'C m c m'
_space_group_IT_number 63
_space_group_name_Hall '-C 2c 2'
loop_
_atom_site_label
_atom_site_type_symbol
_atom_site_fract_x
_atom_site_fract_y
_atom_site_fract_z
_atom_site_occupancy
Ba1 Ba 0.000 0.166 0.250 1
Hg1 Hg 0.000 0.353 0.750 1
Hg2 Hg 0.219 0.427 0.250 1
```

Summary:
**Magnetic moment**: 0.000 μB per atom
**ΔH_f (0 K)**: -1.8 eV per formula unit

# 2
DFT (GGA-PBEsol) results for BaHg2 after structural relaxation.

```
data_BaHg2
_cell_length_a 4.503
_cell_length_b 14.638
_cell_length_c 5.521
_cell_angle_alpha 90.00
_cell_angle_beta 90.00
_cell_angle_gamma 90.00
_space_group_name_H-M_alt 'C m c m'
_space_group_IT_number 63
_space_group_name_Hall '-C 2c 2'
loop_
_atom_site_label
_atom_site_type_symbol
_atom_site_fract_x
_atom_site_fract_y
_atom_site_fract_z
_atom_site_occupancy
Ba1 Ba 0.000 0.095 0.250 1
Hg1 Hg 0.000 0.234 0.750 1
Hg2 Hg 0.000 0.403 0.250 1
```

Summary:
**Magnetic moment**: 0.000 μB per atom
**ΔH_f (0 K)**: -1.4 eV per formula unit

# 3
DFT (GGA-PBEsol) results for Ba2Hg after structural relaxation.

```
data_Ba2Hg
_cell_length_a 8.175
_cell_length_b 8.175
_cell_length_c 7.661
_cell_angle_alpha 90.00
_cell_angle_beta 90.00
_cell_angle_gamma 90.00
_space_group_name_H-M_alt 'I 4/m c m'
_space_group_IT_number 140
_space_group_name_Hall '-I 4 2c'
loop_
_atom_site_label
_atom_site_type_symbol
_atom_site_fract_x
_atom_site_fract_y
_atom_site_fract_z
_atom_site_occupancy
Ba1 Ba 0.189 0.311 0.000 1
Hg1 Hg 0.000 0.000 0.250 1
```

Summary:
**Magnetic moment**: 0.000 μB per atom
**ΔH_f (0 K)**: -1.1 eV per formula unit

# 4
DFT (GGA-PBEsol) results for Ba2Hg after structural relaxation.

```
data_Ba2Hg
_cell_length_a 4.150
_cell_length_b 4.150
_cell_length_c 14.868
_cell_angle_alpha 90.00
_cell_angle_beta 90.00
_cell_angle_gamma 90.00
_space_group_name_H-M_alt 'I 4/m m m'
_space_group_IT_number 139
_space_group_name_Hall '-I 4 2'
loop_
_atom_site_label
_atom_site_type_symbol
_atom_site_fract_x
_atom_site_fract_y
_atom_site_fract_z
_atom_site_occupancy
Ba1 Ba 0.000 0.000 0.130 1
Hg1 Hg 0.000 0.000 0.500 1
```

Summary:
**Magnetic moment**: 0.000 μB per atom
**ΔH_f (0 K)**: -1.2 eV per formula unit

# 5
DFT (GGA-PBEsol) results for BaHg2 after structural relaxation.

```
data_BaHg2
_cell_length_a 5.039
_cell_length_b 11.097
_cell_length_c 6.572
_cell_angle_alpha 90.00
_cell_angle_beta 90.00
_cell_angle_gamma 90.00
_space_group_name_H-M_alt 'C m c 21'
_space_group_IT_number 36
_space_group_name_Hall 'C 2c -2'
loop_
_atom_site_label
_atom_site_type_symbol
_atom_site_fract_x
_atom_site_fract_y
_atom_site_fract_z
_atom_site_occupancy
Ba1 Ba 0.000 0.194 0.000 1
Hg1 Hg 0.000 0.105 0.500 1
Hg2 Hg 0.000 0.499 0.750 1
```

Summary:
**Magnetic moment**: 0.000 μB per atom
**ΔH_f (0 K)**: -1.4 eV per formula unit

# 6
DFT (GGA-PBEsol) results for Ba2Hg after structural relaxation.

```
data_Ba2Hg
_cell_length_a 8.7786
_cell_length_b 8.7786
_cell_length_c 5.5426
_cell_angle_alpha 90.00
_cell_angle_beta 90.00
_cell_angle_gamma 120.00
_space_group_name_H-M_alt 'P -6 2 m'
_space_group_IT_number 189
_space_group_name_Hall 'P -6 -2'
loop_
_atom_site_label
_atom_site_type_symbol
_atom_site_fract_x
_atom_site_fract_y
_atom_site_fract_z
_atom_site_occupancy
Ba1 Ba 0.0000 0.2584 0.0000 1
Ba2 Ba 0.0000 0.5911 0.5000 1
Hg1 Hg 0.0000 0.0000 0.5000 1
Hg2 Hg 0.3333 0.6667 0.0000 1
```

Summary:
**Magnetic moment**: 0.000 μB per atom
**ΔH_f (0 K)**: -1.0 eV per formula unit

# 7
DFT (GGA-PBEsol) results for BaHg2 after structural relaxation.

```
data_BaHg2
_cell_length_a 4.121
_cell_length_b 4.121
_cell_length_c 10.614
_cell_angle_alpha 90.00
_cell_angle_beta 90.00
_cell_angle_gamma 90.00
_space_group_name_H-M_alt 'I 4/m m m'
_space_group_IT_number 139
_space_group_name_Hall '-I 4 2'
loop_
_atom_site_label
_atom_site_type_symbol
_atom_site_fract_x
_atom_site_fract_y
_atom_site_fract_z
_atom_site_occupancy
Ba1 Ba 0.000 0.000 0.000 1
Hg1 Hg 0.000 0.000 0.321 1
```

Summary:
**Magnetic moment**: 0.000 μB per atom
**ΔH_f (0 K)**: -1.5 eV per formula unit

# 8
DFT (GGA-PBEsol) results for BaHg2 after structural relaxation.

```
data_BaHg2
_cell_length_a 6.348
_cell_length_b 6.348
_cell_length_c 10.068
_cell_angle_alpha 90.00
_cell_angle_beta 90.00
_cell_angle_gamma 90.00
_space_group_name_H-M_alt 'I 4/m c m'
_space_group_IT_number 140
_space_group_name_Hall '-I 4 2c'
loop_
_atom_site_label
_atom_site_type_symbol
_atom_site_fract_x
_atom_site_fract_y
_atom_site_fract_z
_atom_site_occupancy
Ba1 Ba 0.000 0.000 0.250 1
Hg1 Hg 0.160 0.340 0.000 1
```

Summary:
**Magnetic moment**: 0.000 μB per atom
**ΔH_f (0 K)**: -1.0 eV per formula unit

# 9
DFT (GGA-PBEsol) results for Ba2Hg after structural relaxation.

```
data_Ba2Hg
_cell_length_a 15.257
_cell_length_b 4.333
_cell_length_c 9.901
_cell_angle_alpha 90.00
_cell_angle_beta 125.05
_cell_angle_gamma 90.00
_space_group_name_H-M_alt 'C 1 2/m 1'
_space_group_IT_number 12
_space_group_name_Hall '-C 2y'
loop_
_atom_site_label
_atom_site_type_symbol
_atom_site_fract_x
_atom_site_fract_y
_atom_site_fract_z
_atom_site_occupancy
Ba1 Ba 0.087 0.000 0.400 1
Ba2 Ba 0.166 0.500 0.074 1
Hg1 Hg 0.123 0.500 0.693 1
```

Summary:
**Magnetic moment**: 0.000 μB per atom
**ΔH_f (0 K)**: -1.1 eV per formula unit

# 10
DFT (GGA-PBEsol) results for BaHg after structural relaxation.

```
data_BaHg
_cell_length_a 12.265
_cell_length_b 4.316
_cell_length_c 9.069
_cell_angle_alpha 90.00
_cell_angle_beta 110.31
_cell_angle_gamma 90.00
_space_group_name_H-M_alt 'C 1 m 1'
_space_group_IT_number 8
_space_group_name_Hall 'C -2y'
loop_
_atom_site_label
_atom_site_type_symbol
_atom_site_fract_x
_atom_site_fract_y
_atom_site_fract_z
_atom_site_occupancy
Ba1 Ba 0.000 0.000 0.000 1
Ba2 Ba 0.155 0.500 0.698 1
Ba3 Ba 0.323 0.500 0.350 1
Hg1 Hg 0.030 0.500 0.305 1
Hg2 Hg 0.286 0.000 0.016 1
Hg3 Hg 0.368 0.000 0.676 1
```

Summary:
**Magnetic moment**: 0.000 μB per atom
**ΔH_f (0 K)**: -0.9 eV per formula unit

# 11
DFT (GGA-PBEsol) results for BaHg after structural relaxation.

```
data_BaHg
_cell_length_a 4.5800
_cell_length_b 4.5800
_cell_length_c 4.3471
_cell_angle_alpha 90.00
_cell_angle_beta 90.00
_cell_angle_gamma 120.00
_space_group_name_H-M_alt 'P -6 m 2'
_space_group_IT_number 187
_space_group_name_Hall 'P -6 2'
loop_
_atom_site_label
_atom_site_type_symbol
_atom_site_fract_x
_atom_site_fract_y
_atom_site_fract_z
_atom_site_occupancy
Ba1 Ba 0.0000 0.0000 0.0000 1
Hg1 Hg 0.3333 0.6667 0.5000 1
```

Summary:
**Magnetic moment**: 0.000 μB per atom
**ΔH_f (0 K)**: -0.8 eV per formula unit

# 12
DFT (GGA-PBEsol) results for Ba2Hg after structural relaxation.

```
data_Ba2Hg
_cell_length_a 4.175
_cell_length_b 19.655
_cell_length_c 6.085
_cell_angle_alpha 90.00
_cell_angle_beta 90.00
_cell_angle_gamma 90.00
_space_group_name_H-M_alt 'C m c m'
_space_group_IT_number 63
_space_group_name_Hall '-C 2c 2'
loop_
_atom_site_label
_atom_site_type_symbol
_atom_site_fract_x
_atom_site_fract_y
_atom_site_fract_z
_atom_site_occupancy
Ba1 Ba 0.000 0.072 0.250 1
Ba2 Ba 0.000 0.211 0.750 1
Hg1 Hg 0.000 0.426 0.250 1
```

Summary:
**Magnetic moment**: 0.000 μB per atom
**ΔH_f (0 K)**: -1.0 eV per formula unit